No. 1
Compound: Na3PuCl8
Source: the Alexandria database
Functional: PBE
Structure: optimized geometry

a b c (Å): 7.073 7.073 8.425
angles (deg): 90.00 90.00 116.73
Fractional coordinates of all 12 atoms:
Na: 0.000 0.500 0.229
Na: 0.500 0.500 0.000
Na: 0.500 0.000 0.771
Pu: 0.500 0.500 0.500
Cl: 0.712 0.288 0.500
Cl: 0.724 0.276 0.000
Cl: 0.734 0.748 0.717
Cl: 0.748 0.734 0.283
Cl: 0.252 0.266 0.283
Cl: 0.266 0.252 0.717
Cl: 0.276 0.724 0.000
Cl: 0.288 0.712 0.500

Results
formation energy from raw total energies: -1551 meV/atom
volume: 376.44 Å³/cell
E_tot: -51.7 eV/cell


No. 2
Compound: InGaPbF6
Source: the Alexandria database
Functional: PBE
Structure: optimized geometry

a b c (Å): 6.077 6.077 5.437
angles (deg): 90.08 89.92 59.49
Fractional coordinates of all 9 atoms:
In: 0.998 0.998 0.000
Ga: 0.334 0.334 0.500
Pb: 0.666 0.666 0.499
F: 0.067 0.342 0.299
F: 0.343 0.066 0.702
F: 0.592 0.343 0.702
F: 0.062 0.596 0.700
F: 0.342 0.593 0.298
F: 0.597 0.062 0.300

Results
formation energy from raw total energies: -2330 meV/atom
volume: 172.98 Å³/cell
E_tot: -41.7 eV/cell


No. 3
Compound: AsRu3
Source: the Alexandria database
Functional: PBE
Structure: optimized geometry

a b c (Å): 3.987 2.826 5.327
angles (deg): 72.88 90.00 90.00
Fractional coordinates of all 4 atoms:
Ru: 0.500 0.870 0.755
Ru: 0.000 0.500 0.500
Ru: 0.500 0.130 0.245
As: 0.000 0.000 0.000

Results
volume: 57.37 Å³/cell
E_tot: -32.1 eV/cell
E above lowest polymorph: 19 meV per atom


No. 4
Compound: HfMn2Ga2
Source: the Alexandria database
Functional: PBE
Structure: optimized geometry

a b c (Å): 7.215 7.215 2.902
angles (deg): 90.00 90.00 90.00
Fractional coordinates of all 10 atoms:
Mn: 0.175 0.675 0.500
Mn: 0.675 0.825 0.500
Mn: 0.825 0.325 0.500
Mn: 0.325 0.175 0.500
Hf: 0.000 0.000 0.000
Hf: 0.500 0.500 0.000
Ga: 0.376 0.876 0.000
Ga: 0.876 0.624 0.000
Ga: 0.624 0.124 0.000
Ga: 0.124 0.376 0.000

Results
volume: 151.07 Å³/cell
E_tot: -70.1 eV/cell
E above lowest polymorph: 0 meV per atom


No. 5
Compound: SiSN2O
Source: the Alexandria database
Functional: PBE
Structure: optimized geometry

a b c (Å): 3.305 3.305 6.252
angles (deg): 90.00 90.00 90.00
Fractional coordinates of all 5 atoms:
S: 0.000 0.000 0.500
Si: 0.000 0.000 0.000
O: 0.500 0.500 0.500
N: 0.000 0.500 0.000
N: 0.500 0.000 0.000

Results
formation energy from raw total energies: 875 meV/atom
volume: 68.27 Å³/cell
E_tot: -26.8 eV/cell


No. 6
Compound: V2Fe3Rh3
Source: the Alexandria database
Functional: PBE
Structure: optimized geometry

a b c (Å): 3.659 3.755 7.547
angles (deg): 90.00 90.00 90.00
Fractional coordinates of all 8 atoms:
V: 0.000 0.000 0.743
V: 0.000 0.000 0.257
Fe: 0.500 0.000 0.500
Fe: 0.000 0.500 0.000
Fe: 0.000 0.500 0.500
Rh: 0.500 0.500 0.742
Rh: 0.500 0.500 0.258
Rh: 0.500 0.000 0.000

Results
volume: 103.69 Å³/cell
E_tot: -67.5 eV/cell


No. 7
Compound: Y4Ho6Th
Source: the Alexandria database
Functional: PBE
Structure: optimized geometry

a b c (Å): 6.600 6.600 9.650
angles (deg): 110.00 110.00 90.00
Fractional coordinates of all 11 atoms:
Y: 0.053 0.685 0.738
Y: 0.947 0.947 0.262
Y: 0.685 0.053 0.738
Y: 0.315 0.315 0.262
Ho: 0.858 0.484 0.342
Ho: 0.484 0.858 0.342
Ho: 0.516 0.516 0.658
Ho: 0.000 0.500 0.000
Ho: 0.142 0.142 0.658
Ho: 0.500 0.000 0.000
Th: 0.500 0.500 0.000

Results
volume: 367.89 Å³/cell
E_tot: -57.1 eV/cell
E above lowest polymorph: 189 meV per atom


No. 8
Compound: YSnPd
Source: the Alexandria database
Functional: PBE
Structure: optimized geometry

a b c (Å): 4.644 7.231 7.985
angles (deg): 90.00 90.00 90.00
Fractional coordinates of all 12 atoms:
Y: 0.750 0.509 0.206
Y: 0.250 0.991 0.706
Y: 0.250 0.491 0.794
Y: 0.750 0.009 0.294
Sn: 0.250 0.806 0.088
Sn: 0.250 0.306 0.412
Sn: 0.750 0.694 0.588
Sn: 0.750 0.194 0.912
Pd: 0.750 0.795 0.916
Pd: 0.250 0.205 0.084
Pd: 0.750 0.295 0.584
Pd: 0.250 0.705 0.416

Results
volume: 268.18 Å³/cell
E_tot: -73.9 eV/cell